(1)
Here is an optimized crystal structure of Ag2SnBi2 from Alexandria via LeMat-Bulk. Energies are from PBE.

Summary:
* formation energy from the elements: 0.233 eV/atom
* M_tot: 0.00 μB/cell
* raw total energy: -3.260 eV/atom

abc: 4.580 4.580 13.334
angles: 90.00 90.00 90.00
Space group I4/mmm (No. 139)
Unique sites:
Ag1 0.000 0.000 0.100 (multiplicity 4)
Sn1 0.000 0.000 0.500 (multiplicity 2)
Bi1 0.000 0.500 0.250 (multiplicity 4)

=====

(2)
Here is an optimized crystal structure of Ag3SnBi from Alexandria via LeMat-Bulk. Energies are from PBE.

Summary:
* formation energy from the elements: 0.563 eV/atom
* M_tot: 0.00 μB/cell
* raw total energy: -2.725 eV/atom

abc: 5.208 5.208 5.208
angles: 90.00 90.00 90.00
Space group Pm-3m (No. 221)
Unique sites:
Ag1 0.000 0.000 0.500 (multiplicity 3)
Sn1 0.000 0.000 0.000 (multiplicity 1)
Bi1 0.500 0.500 0.500 (multiplicity 1)

=====

(3)
Here is an optimized crystal structure of Ag3Sn12Bi5 from Alexandria via LeMat-Bulk. Energies are from PBE.

Summary:
* formation energy from the elements: 0.161 eV/atom
* M_tot: 0.00 μB/cell
* raw total energy: -3.638 eV/atom

abc: 17.499 17.499 17.499
angles: 90.00 90.00 90.00
Space group Ia-3d (No. 230)
Unique sites:
Ag1 0.000 0.250 0.125 (multiplicity 24)
Sn1 0.018 0.094 0.652 (multiplicity 96)
Bi1 0.000 0.000 0.000 (multiplicity 16)
Bi2 0.000 0.250 0.375 (multiplicity 24)

=====

(4)
Here is an optimized crystal structure of Ag3SnBi from Alexandria via LeMat-Bulk. Energies are from PBE.

Summary:
* formation energy from the elements: 0.079 eV/atom
* M_tot: 0.00 μB/cell
* raw total energy: -3.208 eV/atom

abc: 7.162 7.689 9.426
angles: 90.00 117.40 90.00
Space group P2_1/c (No. 14)
Unique sites:
Ag1 0.063 0.143 0.125 (multiplicity 4)
Ag2 0.262 0.597 0.898 (multiplicity 4)
Ag3 0.372 0.608 0.632 (multiplicity 4)
Sn1 0.334 0.233 0.988 (multiplicity 4)
Bi1 0.192 0.563 0.201 (multiplicity 4)